Entry 1:
The following is a PBE calculation of a relaxed structure of Na3InBi2Se6, from Alexandria.

a = 7.2252 Å, b = 7.2252 Å, c = 7.5021 Å
α = 99.26°, β = 99.26°, γ = 120.05°
Closest atoms and distances in Å follow each position.
Fractional positions:
Na (0.0000, 0.0000, 0.0000)  6 Se 3.03-3.17
Na (0.3286, 0.6714, 0.0000)  6 Se 3.03-3.11
Na (0.6714, 0.3286, 0.0000)  6 Se 3.03-3.11
In (0.5000, 0.5000, 0.5000)  6 Se 2.82-2.83
Bi (0.1661, 0.8339, 0.5000)  6 Se 2.96-2.97
Bi (0.8339, 0.1661, 0.5000)  6 Se 2.96-2.97
Se (0.1041, 0.4224, 0.2676)  1 In 2.83, 2 Bi 2.97, 3 Na 3.03-3.11
Se (0.2601, 0.2601, 0.7314)  1 In 2.82, 2 Bi 2.96, 2 Na 3.07
Se (0.4224, 0.1041, 0.2676)  1 In 2.83, 2 Bi 2.97, 3 Na 3.03-3.11
Se (0.5776, 0.8959, 0.7324)  1 In 2.83, 2 Bi 2.97, 3 Na 3.03-3.11
Se (0.7399, 0.7399, 0.2686)  1 In 2.82, 2 Bi 2.96, 2 Na 3.07
Se (0.8959, 0.5776, 0.7324)  1 In 2.83, 2 Bi 2.97, 3 Na 3.03-3.11

Uncorrected energy (eV per cell): -44.462
M_tot (μB/f.u.): 0.0
Crystal system: monoclinic
ΔE_f (raw) (meV per atom): -758
Symmetry: C2/m


Entry 2:
The following is a PBE calculation of a relaxed structure of BaLaMnN4, from Alexandria.

a = 5.9654 Å, b = 5.6019 Å, c = 7.5455 Å
α = 90.00°, β = 106.60°, γ = 90.00°
Closest atoms and distances in Å follow each position.
Fractional positions:
Ba (0.2213, 0.2500, 0.4300)  8 N 2.79-3.09
Ba (0.7787, 0.7500, 0.5700)  8 N 2.79-3.09
La (0.2643, 0.2500, 0.9490)  6 N 2.50-2.74
La (0.7357, 0.7500, 0.0510)  6 N 2.50-2.74
Mn (0.2783, 0.7500, 0.1851)  4 N 1.69-1.71
Mn (0.7217, 0.2500, 0.8149)  4 N 1.69-1.71
N (0.0935, 0.7500, 0.3222)  1 Mn 1.71
N (0.1114, 0.7500, 0.9618)  1 Mn 1.69
N (0.4568, 0.5078, 0.2222)  1 Mn 1.70
N (0.4568, 0.9922, 0.2222)  1 Mn 1.70
N (0.5432, 0.0078, 0.7778)  1 Mn 1.70
N (0.5432, 0.4922, 0.7778)  1 Mn 1.70
N (0.8886, 0.2500, 0.0382)  1 Mn 1.69
N (0.9065, 0.2500, 0.6778)  1 Mn 1.71

Uncorrected energy (eV per cell): -109.555
M_tot (μB/f.u.): 0.0
Crystal system: monoclinic
ΔE_f (raw) (meV per atom): -780
Symmetry: P2_1/m


Entry 3:
The following is a PBE calculation of a relaxed structure of LuPuMgTl, from Alexandria.

a = 5.3210 Å, b = 5.3210 Å, c = 5.3210 Å
α = 60.00°, β = 60.00°, γ = 60.00°
Closest atoms and distances in Å follow each position.
Fractional positions:
Lu (0.0000, 0.0000, 0.0000)  4 Tl 3.26, 4 Mg 3.26
Pu (0.5000, 0.5000, 0.5000)  4 Tl 3.26, 4 Mg 3.26
Mg (0.2500, 0.2500, 0.2500)  4 Pu 3.26, 4 Lu 3.26
Tl (0.7500, 0.7500, 0.7500)  4 Pu 3.26, 4 Lu 3.26

Uncorrected energy (eV per cell): -22.912
M_tot (μB/f.u.): 6.3
Crystal system: cubic
Formation energy from the elements (eV per formula unit): -0.10
Symmetry: F-43m


Entry 4:
The following is a PBE calculation of a relaxed structure of PO, from Alexandria.

a = 2.6173 Å, b = 2.6173 Å, c = 9.3970 Å
α = 90.00°, β = 90.00°, γ = 120.00°
Closest atoms and distances in Å follow each position.
Fractional positions:
P (0.3333, 0.6667, 0.0000)  3 O 1.89
P (0.6667, 0.3333, 0.5000)  3 O 1.89
O (0.3333, 0.6667, 0.6213)  3 P 1.89
O (0.6667, 0.3333, 0.1213)  3 P 1.89

Uncorrected energy (eV per cell): -22.104
M_tot (μB/f.u.): 0.0
Crystal system: hexagonal
ΔE_f (raw) (meV per atom): -342
ΔE to the lowest computed polymorph (meV per atom): 729
Symmetry: P6_3mc


> Which value of uncorrected energy does entry 3 give?

-22.912 eV per cell


Please write out number 4 again, unchanged.
The following is a PBE calculation of a relaxed structure of PO, from Alexandria.

a = 2.6173 Å, b = 2.6173 Å, c = 9.3970 Å
α = 90.00°, β = 90.00°, γ = 120.00°
Closest atoms and distances in Å follow each position.
Fractional positions:
P (0.3333, 0.6667, 0.0000)  3 O 1.89
P (0.6667, 0.3333, 0.5000)  3 O 1.89
O (0.3333, 0.6667, 0.6213)  3 P 1.89
O (0.6667, 0.3333, 0.1213)  3 P 1.89

Uncorrected energy (eV per cell): -22.104
M_tot (μB/f.u.): 0.0
Crystal system: hexagonal
ΔE_f (raw) (meV per atom): -342
ΔE to the lowest computed polymorph (meV per atom): 729
Symmetry: P6_3mc